a.
Below is a relaxed structure of YTeSe, with properties calculated at the PBE level.

a = 4.2914 Å, b = 4.2914 Å, c = 17.3835 Å
α = 90.00°, β = 90.00°, γ = 90.00°
Closest atoms and distances in Å follow each position.
Space group I4/mmm (No. 139)
One atom of each set of equivalent atoms:
Y (0.0000, 0.0000, 0.1507) (multiplicity 4)  5 Se 2.86-3.09
Te (0.0000, 0.5000, 0.0000) (multiplicity 4)  4 Te 3.03, 4 Y 3.39
Se (0.0000, 0.0000, 0.3153) (multiplicity 4)  5 Y 2.86-3.09

Values from the calculation:
Magnetization, μB per formula unit: 0.00
Density of states at the Fermi level, states/eV per atom: 0.21

=====

b.
Below is a relaxed structure of YTeSe, with properties calculated at the PBE level.

a = 3.8037 Å, b = 3.8037 Å, c = 10.8548 Å
α = 90.00°, β = 90.00°, γ = 90.00°
Closest atoms and distances in Å follow each position.
Space group I4mm (No. 107)
One atom of each set of equivalent atoms:
Y (0.0000, 0.0000, 0.0000) (multiplicity 2)  4 Se 2.94
Te (0.0000, 0.0000, 0.6783) (multiplicity 2)  1 Se 3.11, 4 Y 3.31
Se (0.0000, 0.0000, 0.3914) (multiplicity 2)  4 Y 2.94, 1 Te 3.11

Values from the calculation:
Magnetization, μB per formula unit: 0.00
Density of states at the Fermi level, states/eV per atom: 0.52

=====

Most stable: a

=====

a.
Below is a relaxed structure of CdTc2Cl, with properties calculated at the PBE level.

a = 3.1552 Å, b = 4.9383 Å, c = 4.6503 Å
α = 90.00°, β = 93.64°, γ = 90.00°
Closest atoms and distances in Å follow each position.
Space group P2/m (No. 10)
One atom of each set of equivalent atoms:
Cd (0.0000, 0.0000, 0.0000) (multiplicity 1)  4 Cl 2.73-2.89, 4 Tc 2.84
Tc (0.3291, 0.5000, 0.2160) (multiplicity 2)  1 Tc 2.34
Cl (0.5000, 0.0000, 0.5000) (multiplicity 1)  4 Cd 2.73-2.89, 4 Tc 2.84

Values from the calculation:
Magnetization, μB per formula unit: 0.00
Density of states at the Fermi level, states/eV per atom: 0.95

=====

b.
Below is a relaxed structure of CdTc2Cl, with properties calculated at the PBE level.

a = 6.3906 Å, b = 6.3906 Å, c = 6.3906 Å
α = 90.00°, β = 90.00°, γ = 90.00°
Closest atoms and distances in Å follow each position.
Space group Fm-3m (No. 225)
One atom of each set of equivalent atoms:
Cd (0.0000, 0.0000, 0.0000) (multiplicity 4)  8 Tc 2.77
Tc (0.2500, 0.2500, 0.2500) (multiplicity 8)  4 Cd 2.77, 4 Cl 2.77
Cl (0.0000, 0.0000, 0.5000) (multiplicity 4)  8 Tc 2.77

Values from the calculation:
Magnetization, μB per formula unit: 0.00
Density of states at the Fermi level, states/eV per atom: 1.64

=====

Most stable: a

=====

a.
Below is a relaxed structure of SiAg2Pb, with properties calculated at the PBE level.

a = 3.3654 Å, b = 3.3654 Å, c = 25.8069 Å
α = 90.00°, β = 90.00°, γ = 120.00°
Closest atoms and distances in Å follow each position.
Space group R3m (No. 160, hexagonal axes)
One atom of each set of equivalent atoms:
Si (0.0000, 0.0000, 0.0000) (multiplicity 3)  3 Ag 2.61
Ag (0.0000, 0.0000, 0.4831) (multiplicity 3)  3 Ag 2.88, 3 Pb 3.11
Ag (0.0000, 0.0000, 0.7340) (multiplicity 3)  3 Si 2.61, 3 Ag 2.88
Pb (0.0000, 0.0000, 0.2437) (multiplicity 3)  3 Si 3.02, 3 Ag 3.11, 6 Pb 3.37

Values from the calculation:
Magnetization, μB per formula unit: 0.00
Density of states at the Fermi level, states/eV per atom: 0.42

=====

b.
Below is a relaxed structure of SiAg2Pb, with properties calculated at the PBE level.

a = 4.2973 Å, b = 4.2973 Å, c = 8.9490 Å
α = 90.00°, β = 90.00°, γ = 90.00°
Closest atoms and distances in Å follow each position.
Space group I-4m2 (No. 119)
One atom of each set of equivalent atoms:
Si (0.0000, 0.0000, 0.0000) (multiplicity 2)  8 Ag 3.04-3.10, 4 Pb 3.10
Ag (0.0000, 0.0000, 0.5000) (multiplicity 2)  4 Si 3.04, 4 Pb 3.10, 4 Ag 3.10
Ag (0.0000, 0.5000, 0.7500) (multiplicity 2)  4 Pb 3.04, 4 Si 3.10, 4 Ag 3.10
Pb (0.0000, 0.5000, 0.2500) (multiplicity 2)  8 Ag 3.04-3.10, 4 Si 3.10

Values from the calculation:
Magnetization, μB per formula unit: 0.00
Density of states at the Fermi level, states/eV per atom: 0.54

=====

Most stable: a